No. 1
Entry from OQMD: a relaxed CuNiBiW crystal (PBE-GGA).

CIF file:
```
data_CuNiBiW
_cell_length_a 6.4020
_cell_length_b 6.4020
_cell_length_c 6.4020
_cell_angle_alpha 90.00
_cell_angle_beta 90.00
_cell_angle_gamma 90.00
_space_group_name_H-M_alt 'F -4 3 m'
_space_group_IT_number 216
_space_group_name_Hall 'F -4 2 3'
loop_
_atom_site_label
_atom_site_type_symbol
_atom_site_fract_x
_atom_site_fract_y
_atom_site_fract_z
Cu1 Cu 0.0000 0.0000 0.0000
Ni1 Ni 0.0000 0.0000 0.5000
Bi1 Bi 0.2500 0.2500 0.7500
W1 W 0.2500 0.2500 0.2500
```

Summary:
Energy above the lowest structure with this stoichiometry, eV per atom: 0.0206
DFT total energy, eV/atom: -5.758


No. 2
Entry from OQMD: a relaxed ZrCuNiBi crystal (PBE-GGA).

CIF file:
```
data_ZrCuNiBi
_cell_length_a 6.5768
_cell_length_b 6.5768
_cell_length_c 6.5768
_cell_angle_alpha 90.00
_cell_angle_beta 90.00
_cell_angle_gamma 90.00
_space_group_name_H-M_alt 'F -4 3 m'
_space_group_IT_number 216
_space_group_name_Hall 'F -4 2 3'
loop_
_atom_site_label
_atom_site_type_symbol
_atom_site_fract_x
_atom_site_fract_y
_atom_site_fract_z
Zr1 Zr 0.0000 0.0000 0.0000
Cu1 Cu 0.2500 0.2500 0.2500
Ni1 Ni 0.2500 0.2500 0.7500
Bi1 Bi 0.0000 0.0000 0.5000
```

Summary:
Energy above the lowest structure with this stoichiometry, eV per atom: 0.0000
DFT total energy, eV/atom: -5.512


No. 3
Entry from OQMD: a relaxed ZrCuNiBi crystal (PBE-GGA).

CIF file:
```
data_ZrCuNiBi
_cell_length_a 6.5984
_cell_length_b 6.5984
_cell_length_c 6.5984
_cell_angle_alpha 90.00
_cell_angle_beta 90.00
_cell_angle_gamma 90.00
_space_group_name_H-M_alt 'F -4 3 m'
_space_group_IT_number 216
_space_group_name_Hall 'F -4 2 3'
loop_
_atom_site_label
_atom_site_type_symbol
_atom_site_fract_x
_atom_site_fract_y
_atom_site_fract_z
Zr1 Zr 0.0000 0.0000 0.0000
Cu1 Cu 0.2500 0.2500 0.7500
Ni1 Ni 0.0000 0.0000 0.5000
Bi1 Bi 0.2500 0.2500 0.2500
```

Summary:
Energy above the lowest structure with this stoichiometry, eV per atom: 0.1627
DFT total energy, eV/atom: -5.349


No. 4
Entry from OQMD: a relaxed ZrCuNiBi crystal (PBE-GGA).

CIF file:
```
data_ZrCuNiBi
_cell_length_a 6.6662
_cell_length_b 6.6662
_cell_length_c 6.6662
_cell_angle_alpha 90.00
_cell_angle_beta 90.00
_cell_angle_gamma 90.00
_space_group_name_H-M_alt 'F -4 3 m'
_space_group_IT_number 216
_space_group_name_Hall 'F -4 2 3'
loop_
_atom_site_label
_atom_site_type_symbol
_atom_site_fract_x
_atom_site_fract_y
_atom_site_fract_z
Zr1 Zr 0.0000 0.0000 0.0000
Cu1 Cu 0.0000 0.0000 0.5000
Ni1 Ni 0.2500 0.2500 0.7500
Bi1 Bi 0.2500 0.2500 0.2500
```

Summary:
Energy above the lowest structure with this stoichiometry, eV per atom: 0.1577
DFT total energy, eV/atom: -5.354


No. 5
Entry from OQMD: a relaxed CuBiOs2 crystal (PBE-GGA).

CIF file:
```
data_CuBiOs2
_cell_length_a 6.4333
_cell_length_b 6.4333
_cell_length_c 6.4333
_cell_angle_alpha 90.00
_cell_angle_beta 90.00
_cell_angle_gamma 90.00
_space_group_name_H-M_alt 'F -4 3 m'
_space_group_IT_number 216
_space_group_name_Hall 'F -4 2 3'
loop_
_atom_site_label
_atom_site_type_symbol
_atom_site_fract_x
_atom_site_fract_y
_atom_site_fract_z
Cu1 Cu 0.0000 0.0000 0.0000
Bi1 Bi 0.2500 0.2500 0.7500
Os1 Os 0.0000 0.0000 0.5000
Os2 Os 0.2500 0.2500 0.2500
```

Summary:
DFT total energy, eV/atom: -6.638


No. 6
Entry from OQMD: a relaxed CuBiOs crystal (PBE-GGA).

CIF file:
```
data_CuBiOs
_cell_length_a 6.1200
_cell_length_b 6.1200
_cell_length_c 6.1200
_cell_angle_alpha 90.00
_cell_angle_beta 90.00
_cell_angle_gamma 90.00
_space_group_name_H-M_alt 'F -4 3 m'
_space_group_IT_number 216
_space_group_name_Hall 'F -4 2 3'
loop_
_atom_site_label
_atom_site_type_symbol
_atom_site_fract_x
_atom_site_fract_y
_atom_site_fract_z
Cu1 Cu 0.0000 0.0000 0.0000
Bi1 Bi 0.2500 0.2500 0.7500
Os1 Os 0.2500 0.2500 0.2500
```

Summary:
DFT total energy, eV/atom: -5.309


No. 7
Entry from OQMD: a relaxed CuBiOsPd crystal (PBE-GGA).

CIF file:
```
data_CuBiOsPd
_cell_length_a 6.4529
_cell_length_b 6.4529
_cell_length_c 6.4529
_cell_angle_alpha 90.00
_cell_angle_beta 90.00
_cell_angle_gamma 90.00
_space_group_name_H-M_alt 'F -4 3 m'
_space_group_IT_number 216
_space_group_name_Hall 'F -4 2 3'
loop_
_atom_site_label
_atom_site_type_symbol
_atom_site_fract_x
_atom_site_fract_y
_atom_site_fract_z
Cu1 Cu 0.0000 0.0000 0.0000
Bi1 Bi 0.2500 0.2500 0.7500
Os1 Os 0.0000 0.0000 0.5000
Pd1 Pd 0.2500 0.2500 0.2500
```

Summary:
Energy above the lowest structure with this stoichiometry, eV per atom: 0.0000
DFT total energy, eV/atom: -5.556


No. 8
Entry from OQMD: a relaxed CuBiOsPt crystal (PBE-GGA).

CIF file:
```
data_CuBiOsPt
_cell_length_a 6.4772
_cell_length_b 6.4772
_cell_length_c 6.4772
_cell_angle_alpha 90.00
_cell_angle_beta 90.00
_cell_angle_gamma 90.00
_space_group_name_H-M_alt 'F -4 3 m'
_space_group_IT_number 216
_space_group_name_Hall 'F -4 2 3'
loop_
_atom_site_label
_atom_site_type_symbol
_atom_site_fract_x
_atom_site_fract_y
_atom_site_fract_z
Cu1 Cu 0.0000 0.0000 0.0000
Bi1 Bi 0.2500 0.2500 0.7500
Os1 Os 0.0000 0.0000 0.5000
Pt1 Pt 0.2500 0.2500 0.2500
```

Summary:
Energy above the lowest structure with this stoichiometry, eV per atom: 0.0000
DFT total energy, eV/atom: -5.764


Q: The highest DFT total energy belongs to which entry?
A: CuBiOs


Please write out number 3 again, unchanged.
Entry from OQMD: a relaxed ZrCuNiBi crystal (PBE-GGA).

CIF file:
```
data_ZrCuNiBi
_cell_length_a 6.5984
_cell_length_b 6.5984
_cell_length_c 6.5984
_cell_angle_alpha 90.00
_cell_angle_beta 90.00
_cell_angle_gamma 90.00
_space_group_name_H-M_alt 'F -4 3 m'
_space_group_IT_number 216
_space_group_name_Hall 'F -4 2 3'
loop_
_atom_site_label
_atom_site_type_symbol
_atom_site_fract_x
_atom_site_fract_y
_atom_site_fract_z
Zr1 Zr 0.0000 0.0000 0.0000
Cu1 Cu 0.2500 0.2500 0.7500
Ni1 Ni 0.0000 0.0000 0.5000
Bi1 Bi 0.2500 0.2500 0.2500
```

Summary:
Energy above the lowest structure with this stoichiometry, eV per atom: 0.1627
DFT total energy, eV/atom: -5.349